Computed, not measured: crystalline Na6FeO4 at its relaxed geometry at the PBE with a Hubbard U level of DFT.

Cell lengths 7.581, 7.581, 5.427 Å; angles 90.00, 90.00, 90.00 degrees
Sites, in units of the cell vectors:
Na: 0.039 0.539 0.250
Na: 0.039 0.961 0.250
Na: 0.250 0.250 0.154
Na: 0.250 0.250 0.654
Na: 0.461 0.539 0.250
Na: 0.461 0.961 0.250
Na: 0.539 0.039 0.750
Na: 0.539 0.461 0.750
Na: 0.750 0.750 0.346
Na: 0.750 0.750 0.846
Na: 0.961 0.039 0.750
Na: 0.961 0.461 0.750
Fe: 0.250 0.750 0.750
Fe: 0.750 0.250 0.250
O: 0.001 0.750 0.577
O: 0.250 0.501 0.923
O: 0.250 0.999 0.923
O: 0.499 0.750 0.577
O: 0.501 0.250 0.423
O: 0.750 0.001 0.077
O: 0.750 0.499 0.077
O: 0.999 0.250 0.423

Summary:
total energy = -4.290 eV per atom